## NaSbMoS2 (PBE)

Data for an optimized crystal structure of NaSbMoS2.

Computed properties:
Size of the total moment: 4.049 μB/cell
N(E_F): 1.91 states/eV/f.u.
Calculated volume: 29.7 Å³/atom
Raw formation energy: 67.2 kJ/mol of atoms

a b c (Å): 5.309 5.272 5.309
angles (deg): 90.00 90.00 90.00
Each line ends with the local moment (μB).
Positions (direct):
Sb1 0.000 0.000 0.000  -0.09
Na1 0.500 0.500 0.500  0.01
S1 0.500 0.000 0.000  0.01
S2 0.000 0.000 0.500  0.01
Mo1 0.000 0.500 0.000  3.29



## Ta2MnMo (PBE)

Data for an optimized crystal structure of Ta2MnMo.

Computed properties:
Energy of formation from the pure elements: 0.03 eV/atom
Size of the total moment: 0.647 μB/cell
N(E_F): 4.36 states/eV/f.u.
Calculated volume: 15.9 Å³/atom

a b c (Å): 2.802 2.802 8.595
angles (deg): 90.00 90.00 109.28
Each line ends with the local moment (μB).
Positions (direct):
Mo1 0.500 0.500 0.729  -0.14
Ta1 0.000 0.000 0.994  -0.03
Ta2 0.500 0.500 0.273  -0.14
Mn1 0.000 0.000 0.505  1.03



## HoSc2Mn (PBE)

Data for an optimized crystal structure of HoSc2Mn.

Computed properties:
Energy of formation from the pure elements: 0.26 eV/atom
Size of the total moment: 1.424 μB/cell
N(E_F): 6.15 states/eV/f.u.
Calculated volume: 23.0 Å³/atom

a b c (Å): 4.770 4.770 5.414
angles (deg): 63.86 63.86 60.00
Each line ends with the local moment (μB).
Positions (direct):
Sc1 0.774 0.774 0.679  -0.41
Sc2 0.226 0.226 0.321  -0.41
Ho1 0.000 0.000 0.000  -0.56
Mn1 0.500 0.500 0.500  3.07



## TlCuHg2 (PBE)

Data for an optimized crystal structure of TlCuHg2.

Computed properties:
Energy of formation from the pure elements: 0.14 eV/atom
Size of the total moment: 0.000 μB/cell
N(E_F): 1.21 states/eV/f.u.
Calculated volume: 24.9 Å³/atom

a b c (Å): 5.071 5.071 6.816
angles (deg): 68.08 68.08 38.29
Positions (direct):
Hg1 0.760 0.760 0.773
Hg2 0.944 0.944 0.126
Cu1 0.224 0.224 0.114
Tl1 0.573 0.573 0.488



## Na2CaTl6 (PBE)

Data for an optimized crystal structure of Na2CaTl6.

Computed properties:
Energy of formation from the pure elements: -0.14 eV/atom
Size of the total moment: 0.000 μB/cell
N(E_F): 4.90 states/eV/f.u.
Calculated volume: 29.0 Å³/atom

a b c (Å): 5.061 10.163 10.163
angles (deg): 90.00 90.00 90.00
Positions (direct):
Ca1 0.000 0.000 0.500
Ca2 0.500 0.500 0.000
Tl1 0.500 0.149 0.649
Tl2 0.500 0.162 0.975
Tl3 0.500 0.838 0.025
Tl4 0.000 0.025 0.162
Tl5 0.000 0.351 0.149
Tl6 0.000 0.649 0.851
Tl7 0.000 0.662 0.525
Tl8 0.500 0.475 0.662
Tl9 0.500 0.525 0.338
Tl10 0.000 0.975 0.838
Tl11 0.500 0.851 0.351
Tl12 0.000 0.338 0.475
Na1 0.000 0.306 0.806
Na2 0.500 0.806 0.694
Na3 0.000 0.694 0.194
Na4 0.500 0.194 0.306



## La6Sn2N (PBE)

Data for an optimized crystal structure of La6Sn2N.

Computed properties:
Size of the total moment: 2.501 μB/cell
N(E_F): 10.28 states/eV/f.u.
Calculated volume: 29.5 Å³/atom
Raw formation energy: -67.7 kJ/mol of atoms

a b c (Å): 7.216 7.216 7.216
angles (deg): 60.00 60.00 60.00
Each line ends with the local moment (μB).
Positions (direct):
La1 0.256 0.745 0.255  0.17
La2 0.255 0.255 0.744  0.17
La3 0.255 0.744 0.745  0.17
La4 0.745 0.256 0.255  0.17
La5 0.745 0.745 0.256  0.17
La6 0.744 0.255 0.745  0.17
Sn1 0.750 0.750 0.750  0.00
Sn2 0.250 0.250 0.250  0.00
N1 0.500 0.500 0.500  0.05



## Sc5Ga5Cu2 (PBE)

Data for an optimized crystal structure of Sc5Ga5Cu2.

Computed properties:
Energy of formation from the pure elements: -0.54 eV/atom
Size of the total moment: 0.000 μB/cell
N(E_F): 6.25 states/eV/f.u.
Calculated volume: 18.2 Å³/atom

a b c (Å): 4.289 7.506 7.577
angles (deg): 72.63 73.56 73.40
Positions (direct):
Sc1 0.341 0.985 0.334
Sc2 0.500 0.500 0.500
Sc3 0.630 0.676 0.064
Sc4 0.370 0.324 0.936
Sc5 0.659 0.015 0.666
Ga1 0.239 0.752 0.769
Ga2 0.029 0.269 0.673
Ga3 0.761 0.248 0.231
Ga4 0.000 0.000 0.000
Ga5 0.971 0.731 0.327
Cu1 0.158 0.390 0.294
Cu2 0.842 0.610 0.706



## Fe2RuPt2 (PBE)

Data for an optimized crystal structure of Fe2RuPt2.

Computed properties:
Energy of formation from the pure elements: 0.41 eV/atom
Size of the total moment: 0.001 μB/cell
N(E_F): 11.77 states/eV/f.u.
Calculated volume: 13.9 Å³/atom

a b c (Å): 7.226 7.226 2.658
angles (deg): 90.00 90.00 90.00
Positions (direct):
Pt1 0.368 0.868 0.000
Pt2 0.632 0.132 0.000
Pt3 0.132 0.368 0.000
Pt4 0.868 0.632 0.000
Fe1 0.668 0.832 0.500
Fe2 0.168 0.668 0.500
Fe3 0.832 0.332 0.500
Fe4 0.332 0.168 0.500
Ru1 0.000 0.000 0.000
Ru2 0.500 0.500 0.000